A plane-wave DFT calculation with GGA-PBE was carried out for KPr3 after structural relaxation.

Output
ΔE_f	0.422	eV per atom
DOS(E_F)	13.8	states/eV per cell
VASP energy	-3.4374	eV per atom

Cell: 7.974 7.974 5.962 Å, 90.00 90.00 120.00°
Fractional positions:
Pr 0.693 0.846 0.250
Pr 0.307 0.154 0.750
K 0.667 0.333 0.250
K 0.333 0.667 0.750
Pr 0.846 0.154 0.750
Pr 0.154 0.307 0.250
Pr 0.846 0.693 0.750
Pr 0.154 0.846 0.250